[1]
Material: Ag2F13
Method: DFT, PBE
State: relaxed

Properties
For the magnetization, the calculation gives 1.18 μB per formula unit. For the energy relative to the elements, uncorrected, the calculation gives -405.9 meV per atom. As for the symmetry: P-1, No. 2.

POSCAR file:
```
Ag2F13
1.0
-2.875 3.994 -0.063
-2.094 -3.578 5.237
5.869 4.736 1.208
Ag F
2 13
Cartesian
0.084 3.655 5.256
0.815 1.495 1.125
-2.625 0.819 2.912
3.525 4.332 3.470
0.000 0.000 0.000
1.202 0.433 5.547
-0.303 4.718 0.834
0.397 4.745 3.690
0.502 0.406 2.691
-0.643 2.251 4.177
1.543 2.899 2.204
1.852 2.902 5.057
-0.953 2.248 1.324
1.892 6.206 1.630
-0.992 -1.055 4.751
```

***

[2]
Material: AgF
Method: DFT, PBE
State: relaxed

Properties
For the polymorph energy (0 for the lowest one), the calculation gives 4 meV/atom. For the magnetization, the calculation gives 0.00 μB per formula unit. For the energy relative to the elements, uncorrected, the calculation gives -960.4 meV per atom. As for the symmetry: Fddd, No. 70.

POSCAR file:
```
AgF
1.0
-3.530 2.933 8.671
-5.928 -4.678 -0.831
3.408 -4.857 3.030
Ag F
16 16
Cartesian
0.762 -1.086 0.678
2.646 -3.771 2.353
-5.238 -2.903 1.625
-3.714 -5.075 2.980
-0.498 -5.853 1.777
-2.022 -3.681 0.422
-0.571 -2.992 3.555
0.953 -5.164 4.910
0.701 -2.048 6.528
-0.823 0.124 5.173
-5.299 -3.865 7.475
-3.775 -6.036 8.831
-3.967 -1.958 4.598
-2.083 -4.643 6.273
-4.039 0.902 6.376
-2.515 -1.269 7.731
-1.629 -1.285 -0.228
-4.299 -3.392 -0.602
-2.847 -2.703 2.531
-0.178 -0.597 2.905
-2.889 -6.053 0.871
0.369 -3.482 1.328
-4.107 -7.471 3.630
-1.438 -5.364 4.004
-1.690 -2.247 5.622
-4.360 -4.354 5.248
-2.908 -3.665 8.381
-0.239 -1.558 8.755
-6.358 -2.158 3.692
-3.100 0.413 4.149
-7.576 -3.576 6.451
-4.906 -1.469 6.825
```

***

[3]
Material: AgF
Method: DFT, PBE
State: relaxed

Properties
For the polymorph energy (0 for the lowest one), the calculation gives 81 meV/atom. For the magnetization, the calculation gives 0.00 μB per formula unit. For the energy relative to the elements, uncorrected, the calculation gives -882.8 meV per atom. As for the symmetry: Pm-3n, No. 223.

POSCAR file:
```
AgF
1.0
-4.622 -3.639 3.225
2.701 -5.621 -2.471
4.043 -0.404 5.338
Ag F
6 6
Cartesian
0.866 -1.112 3.475
-1.445 -2.931 5.088
2.361 -2.912 0.099
4.383 -3.114 2.768
-1.636 -3.225 0.995
-0.285 -6.035 -0.241
0.195 -3.720 -0.429
-2.116 -5.540 1.183
-1.300 -1.920 2.947
0.721 -2.122 5.616
2.697 -1.607 2.051
4.047 -4.418 0.816
```

***

[4]
Material: AgF5
Method: DFT, PBE
State: relaxed

Properties
For the magnetization, the calculation gives 2.04 μB per formula unit. For the energy relative to the elements, uncorrected, the calculation gives -332.8 meV per atom. As for the symmetry: Cmmm, No. 65.

POSCAR file:
```
AgF5
1.0
-1.412 2.078 -2.074
2.032 -2.566 -3.954
-4.704 -1.386 1.813
Ag F
1 5
Cartesian
0.000 0.000 0.000
-2.345 -2.166 -3.132
-0.077 -2.074 -2.025
0.310 -0.244 -3.014
-2.595 -1.878 -0.115
-1.738 0.292 -1.083
```

***

Question: Look up the energy relative to the elements, uncorrected of the second one.
Answer: -960.4 meV per atom